(1)
Material: Pm12SmDy6
Method: DFT, PBE-GGA
State: optimized geometry

Cell lengths 8.6538, 8.6538, 8.6538 Å; angles 88.93, 88.93, 88.93 degrees
Closest atoms and distances in Å follow each position.
Atoms (fractional coordinates):
Pm  0.0168  0.1971  0.3614  4 Pm 3.46-3.62, 4 Dy 3.54-3.71, 1 Sm 3.60
Pm  0.1971  0.3614  0.0168  4 Pm 3.46-3.62, 4 Dy 3.54-3.71, 1 Sm 3.60
Pm  0.2205  0.4628  0.5667  6 Pm 3.33-3.73, 3 Dy 3.35-3.49
Pm  0.3614  0.0168  0.1971  4 Pm 3.46-3.62, 4 Dy 3.54-3.71, 1 Sm 3.60
Pm  0.4333  0.7795  0.5372  6 Pm 3.33-3.73, 3 Dy 3.35-3.49
Pm  0.4628  0.5667  0.2205  6 Pm 3.33-3.73, 3 Dy 3.35-3.49
Pm  0.5372  0.4333  0.7795  6 Pm 3.33-3.73, 3 Dy 3.35-3.49
Pm  0.5667  0.2205  0.4628  6 Pm 3.33-3.73, 3 Dy 3.35-3.49
Pm  0.6386  0.9832  0.8029  4 Pm 3.46-3.62, 4 Dy 3.54-3.71, 1 Sm 3.60
Pm  0.7795  0.5372  0.4333  6 Pm 3.33-3.73, 3 Dy 3.35-3.49
Pm  0.8029  0.6386  0.9832  4 Pm 3.46-3.62, 4 Dy 3.54-3.71, 1 Sm 3.60
Pm  0.9832  0.8029  0.6386  4 Pm 3.46-3.62, 4 Dy 3.54-3.71, 1 Sm 3.60
Sm  0.0000  0.0000  0.0000  6 Dy 3.51, 6 Pm 3.60
Dy  0.0980  0.6994  0.2594  7 Pm 3.35-3.71, 1 Sm 3.51, 2 Dy 3.54
Dy  0.2594  0.0980  0.6994  7 Pm 3.35-3.71, 1 Sm 3.51, 2 Dy 3.54
Dy  0.3006  0.7406  0.9020  7 Pm 3.35-3.71, 1 Sm 3.51, 2 Dy 3.54
Dy  0.6994  0.2594  0.0980  7 Pm 3.35-3.71, 1 Sm 3.51, 2 Dy 3.54
Dy  0.7406  0.9020  0.3006  7 Pm 3.35-3.71, 1 Sm 3.51, 2 Dy 3.54
Dy  0.9020  0.3006  0.7406  7 Pm 3.35-3.71, 1 Sm 3.51, 2 Dy 3.54

Summary:
SG: No. 148
V: 647.74 Å³/cell
N(E_F): 31.7 states/eV/f.u.
energy above the lowest structure with this stoichiometry: 0.00 kcal/mol of atoms
formation enthalpy at 0 K: 0.137 eV per atom


(2)
Material: PmSm7Dy3
Method: DFT, PBE-GGA
State: optimized geometry

Cell lengths 8.5176, 8.5176, 5.8891 Å; angles 110.18, 110.18, 83.11 degrees
Closest atoms and distances in Å follow each position.
Atoms (fractional coordinates):
Pm  0.0000  0.0000  0.0000  4 Sm 2.94-3.29
Sm  0.0000  0.0000  0.5000  2 Pm 2.94
Sm  0.0972  0.5070  0.8024  2 Dy 3.22-3.57, 3 Sm 3.33-3.50
Sm  0.2910  0.2910  0.2926  1 Pm 3.29, 2 Dy 3.30, 2 Sm 3.50
Sm  0.4930  0.9028  0.1976  2 Dy 3.22-3.57, 3 Sm 3.33-3.50
Sm  0.5070  0.0972  0.8024  2 Dy 3.22-3.57, 3 Sm 3.33-3.50
Sm  0.7090  0.7090  0.7074  1 Pm 3.29, 2 Dy 3.30, 2 Sm 3.50
Sm  0.9028  0.4930  0.1976  2 Dy 3.22-3.57, 3 Sm 3.33-3.50
Dy  0.2969  0.7031  0.5000  5 Sm 3.30-3.57
Dy  0.5000  0.5000  0.0000  4 Sm 3.22
Dy  0.7031  0.2969  0.5000  5 Sm 3.30-3.57

Summary:
SG: No. 12
V: 376.41 Å³/cell
N(E_F): 16.6 states/eV/f.u.
energy above the lowest structure with this stoichiometry: 0.07 kcal/mol of atoms
formation enthalpy at 0 K: 0.232 eV per atom


(3)
Material: Pm4SmDy8
Method: DFT, PBE-GGA
State: optimized geometry

Cell lengths 9.9751, 9.9751, 9.9751 Å; angles 43.54, 43.54, 43.54 degrees
Closest atoms and distances in Å follow each position.
Atoms (fractional coordinates):
Pm  0.0000  0.0000  0.0000  6 Dy 3.38, 6 Pm 3.70
Pm  0.0000  0.5000  0.5000  6 Dy 3.61-3.77, 6 Pm 3.70
Pm  0.5000  0.0000  0.5000  6 Dy 3.61-3.77, 6 Pm 3.70
Pm  0.5000  0.5000  0.0000  6 Dy 3.61-3.77, 6 Pm 3.70
Sm  0.5000  0.5000  0.5000  6 Dy 2.93
Dy  0.1894  0.7495  0.7495  1 Sm 2.93, 2 Dy 3.26
Dy  0.2183  0.2183  0.2183  9 Dy 3.62-3.72, 3 Pm 3.77
Dy  0.2505  0.2505  0.8106  1 Sm 2.93, 2 Dy 3.26
Dy  0.2505  0.8106  0.2505  1 Sm 2.93, 2 Dy 3.26
Dy  0.7495  0.1894  0.7495  1 Sm 2.93, 2 Dy 3.26
Dy  0.7495  0.7495  0.1894  1 Sm 2.93, 2 Dy 3.26
Dy  0.7817  0.7817  0.7817  9 Dy 3.62-3.72, 3 Pm 3.77
Dy  0.8106  0.2505  0.2505  1 Sm 2.93, 2 Dy 3.26

Summary:
SG: No. 166
V: 427.42 Å³/cell
N(E_F): 15.6 states/eV/f.u.
formation enthalpy at 0 K: 0.194 eV per atom


(4)
Material: Pm5SmDy3
Method: DFT, PBE-GGA
State: optimized geometry

Cell lengths 8.9057, 8.9057, 11.6059 Å; angles 108.53, 108.53, 44.73 degrees
Closest atoms and distances in Å follow each position.
Atoms (fractional coordinates):
Pm  0.1075  0.1136  0.5507  4 Pm 3.42-3.63, 5 Dy 3.52-3.81, 2 Sm 3.78-3.82
Pm  0.1136  0.1075  0.0507  4 Pm 3.42-3.63, 5 Dy 3.52-3.81, 2 Sm 3.78-3.82
Pm  0.1856  0.8144  0.7500  1 Sm 3.02, 2 Pm 3.06
Pm  0.2360  0.4203  0.6515  2 Pm 3.06-3.42, 2 Dy 3.34-3.35
Pm  0.4203  0.2360  0.1515  2 Pm 3.06-3.42, 2 Dy 3.34-3.35
Pm  0.5797  0.7640  0.8485  2 Pm 3.06-3.42, 2 Dy 3.34-3.35
Pm  0.7640  0.5797  0.3485  2 Pm 3.06-3.42, 2 Dy 3.34-3.35
Pm  0.8144  0.1856  0.2500  1 Sm 3.02, 2 Pm 3.06
Pm  0.8864  0.8925  0.9493  4 Pm 3.42-3.63, 5 Dy 3.52-3.81, 2 Sm 3.78-3.82
Pm  0.8925  0.8864  0.4493  4 Pm 3.42-3.63, 5 Dy 3.52-3.81, 2 Sm 3.78-3.82
Sm  0.2603  0.7397  0.2500  1 Pm 3.02, 2 Dy 3.33
Sm  0.7397  0.2603  0.7500  1 Pm 3.02, 2 Dy 3.33
Dy  0.1391  0.3402  0.8713  7 Pm 3.34-3.66, 1 Dy 3.53
Dy  0.3402  0.1391  0.3713  7 Pm 3.34-3.66, 1 Dy 3.53
Dy  0.5000  0.5000  0.0000  2 Sm 3.33, 2 Pm 3.60
Dy  0.5000  0.5000  0.5000  2 Sm 3.33, 2 Pm 3.60
Dy  0.6598  0.8609  0.6287  7 Pm 3.34-3.66, 1 Dy 3.53
Dy  0.8609  0.6598  0.1287  7 Pm 3.34-3.66, 1 Dy 3.53

Summary:
SG: No. 15
V: 608.36 Å³/cell
N(E_F): 12.6 states/eV/f.u.
energy above the lowest structure with this stoichiometry: 0.00 kcal/mol of atoms
formation enthalpy at 0 K: 0.169 eV per atom


(5)
Material: PmSm8Dy6
Method: DFT, PBE-GGA
State: optimized geometry

Cell lengths 8.7079, 8.7079, 8.7079 Å; angles 63.09, 63.09, 63.09 degrees
Closest atoms and distances in Å follow each position.
Atoms (fractional coordinates):
Pm  0.0000  0.0000  0.0000  6 Dy 3.50, 6 Sm 3.54
Sm  0.1123  0.7183  0.7484  3 Dy 3.42-3.83, 5 Sm 3.44-3.46, 1 Pm 3.54
Sm  0.2516  0.8877  0.2817  3 Dy 3.42-3.83, 5 Sm 3.44-3.46, 1 Pm 3.54
Sm  0.2817  0.2516  0.8877  3 Dy 3.42-3.83, 5 Sm 3.44-3.46, 1 Pm 3.54
Sm  0.4227  0.4227  0.4227  4 Sm 3.22-3.44, 3 Dy 3.37
Sm  0.5773  0.5773  0.5773  4 Sm 3.22-3.44, 3 Dy 3.37
Sm  0.7183  0.7484  0.1123  3 Dy 3.42-3.83, 5 Sm 3.44-3.46, 1 Pm 3.54
Sm  0.7484  0.1123  0.7183  3 Dy 3.42-3.83, 5 Sm 3.44-3.46, 1 Pm 3.54
Sm  0.8877  0.2817  0.2516  3 Dy 3.42-3.83, 5 Sm 3.44-3.46, 1 Pm 3.54
Dy  0.0996  0.5375  0.2439  3 Sm 3.37-3.44, 1 Pm 3.50, 2 Dy 3.52
Dy  0.2439  0.0996  0.5375  3 Sm 3.37-3.44, 1 Pm 3.50, 2 Dy 3.52
Dy  0.4625  0.7561  0.9004  3 Sm 3.37-3.44, 1 Pm 3.50, 2 Dy 3.52
Dy  0.5375  0.2439  0.0996  3 Sm 3.37-3.44, 1 Pm 3.50, 2 Dy 3.52
Dy  0.7561  0.9004  0.4625  3 Sm 3.37-3.44, 1 Pm 3.50, 2 Dy 3.52
Dy  0.9004  0.4625  0.7561  3 Sm 3.37-3.44, 1 Pm 3.50, 2 Dy 3.52

Summary:
SG: No. 148
V: 498.94 Å³/cell
N(E_F): 22.4 states/eV/f.u.
formation enthalpy at 0 K: 0.127 eV per atom


(6)
Material: Pm5Sm3Dy3
Method: DFT, PBE-GGA
State: optimized geometry

Cell lengths 9.7663, 9.7663, 5.5157 Å; angles 90.00, 90.00, 120.00 degrees
Closest atoms and distances in Å follow each position.
Atoms (fractional coordinates):
Pm  0.0000  0.7311  0.0000  2 Sm 3.18, 3 Dy 3.21-3.56
Pm  0.2689  0.2689  0.0000  2 Sm 3.18, 3 Dy 3.21-3.56
Pm  0.3333  0.6667  0.0000  3 Dy 3.11
Pm  0.6667  0.3333  0.0000  3 Dy 3.11
Pm  0.7311  0.0000  0.0000  2 Sm 3.18, 3 Dy 3.21-3.56
Sm  0.0000  0.5692  0.5000  2 Pm 3.18, 2 Dy 3.39
Sm  0.4308  0.4308  0.5000  2 Pm 3.18, 2 Dy 3.39
Sm  0.5692  0.0000  0.5000  2 Pm 3.18, 2 Dy 3.39
Dy  0.0000  0.3665  0.0000  4 Pm 3.11-3.21, 2 Sm 3.39
Dy  0.3665  0.0000  0.0000  4 Pm 3.11-3.21, 2 Sm 3.39
Dy  0.6335  0.6335  0.0000  4 Pm 3.11-3.21, 2 Sm 3.39

Summary:
SG: No. 189
V: 455.61 Å³/cell
N(E_F): 19.5 states/eV/f.u.
energy above the lowest structure with this stoichiometry: 10.11 kcal/mol of atoms
formation enthalpy at 0 K: 0.760 eV per atom


(7)
Material: Pm3SmDy
Method: DFT, PBE-GGA
State: optimized geometry

Cell lengths 9.5917, 9.5917, 6.2741 Å; angles 96.16, 96.16, 141.87 degrees
Closest atoms and distances in Å follow each position.
Atoms (fractional coordinates):
Pm  0.0509  0.9491  0.7500  7 Pm 3.61-3.64, 2 Dy 3.61, 3 Sm 3.62-3.64
Pm  0.2498  0.7502  0.7500  4 Pm 3.61-3.63, 4 Dy 3.62, 4 Sm 3.62
Pm  0.4494  0.5506  0.7500  2 Sm 3.62, 3 Dy 3.62-3.64, 7 Pm 3.62-3.63
Pm  0.5506  0.4494  0.2500  2 Sm 3.62, 3 Dy 3.62-3.64, 7 Pm 3.62-3.63
Pm  0.7502  0.2498  0.2500  4 Pm 3.61-3.63, 4 Dy 3.62, 4 Sm 3.62
Pm  0.9491  0.0509  0.2500  7 Pm 3.61-3.64, 2 Dy 3.61, 3 Sm 3.62-3.64
Sm  0.1501  0.8499  0.2500  9 Pm 3.62-3.64, 3 Dy 3.62-3.63
Sm  0.8499  0.1501  0.7500  9 Pm 3.62-3.64, 3 Dy 3.62-3.63
Dy  0.3500  0.6500  0.2500  9 Pm 3.61-3.64, 3 Sm 3.62-3.63
Dy  0.6500  0.3500  0.7500  9 Pm 3.61-3.64, 3 Sm 3.62-3.63

Summary:
SG: No. 15
V: 336.63 Å³/cell
N(E_F): 7.0 states/eV/f.u.
formation enthalpy at 0 K: 0.014 eV per atom


(8)
Material: Pm9Sm11Dy4
Method: DFT, PBE-GGA
State: optimized geometry

Cell lengths 15.5555, 15.5555, 3.6921 Å; angles 90.00, 90.00, 113.97 degrees
Closest atoms and distances in Å follow each position.
Atoms (fractional coordinates):
Pm  0.0000  0.0000  0.0000  2 Pm 3.69, 4 Dy 3.76, 8 Sm 3.87-4.04
Pm  0.1276  0.6655  0.0000  3 Pm 3.51-3.69, 1 Dy 3.52, 8 Sm 3.57-3.74
Pm  0.2877  0.4380  0.0000  1 Dy 3.52, 8 Sm 3.56-3.77, 3 Pm 3.69-3.92
Pm  0.3345  0.8724  0.0000  3 Pm 3.51-3.69, 1 Dy 3.52, 8 Sm 3.57-3.74
Pm  0.4380  0.2877  0.0000  1 Dy 3.52, 8 Sm 3.56-3.77, 3 Pm 3.69-3.92
Pm  0.5620  0.7123  0.0000  1 Dy 3.52, 8 Sm 3.56-3.77, 3 Pm 3.69-3.92
Pm  0.6655  0.1276  0.0000  3 Pm 3.51-3.69, 1 Dy 3.52, 8 Sm 3.57-3.74
Pm  0.7123  0.5620  0.0000  1 Dy 3.52, 8 Sm 3.56-3.77, 3 Pm 3.69-3.92
Pm  0.8724  0.3345  0.0000  3 Pm 3.51-3.69, 1 Dy 3.52, 8 Sm 3.57-3.74
Sm  0.0970  0.4584  0.5000  2 Dy 3.44, 6 Pm 3.57-3.72, 4 Sm 3.69-3.79
Sm  0.1303  0.8697  0.5000  4 Dy 3.35, 4 Pm 3.66, 2 Sm 3.69
Sm  0.2118  0.2118  0.5000  4 Dy 3.34, 2 Sm 3.69, 4 Pm 3.72
Sm  0.3359  0.6641  0.5000  4 Sm 3.69-3.79, 8 Pm 3.74-3.77
Sm  0.4584  0.0970  0.5000  2 Dy 3.44, 6 Pm 3.57-3.72, 4 Sm 3.69-3.79
Sm  0.5000  0.5000  0.5000  8 Pm 3.56, 2 Sm 3.69
Sm  0.5416  0.9030  0.5000  2 Dy 3.44, 6 Pm 3.57-3.72, 4 Sm 3.69-3.79
Sm  0.6641  0.3359  0.5000  4 Sm 3.69-3.79, 8 Pm 3.74-3.77
Sm  0.7882  0.7882  0.5000  4 Dy 3.34, 2 Sm 3.69, 4 Pm 3.72
Sm  0.8697  0.1303  0.5000  4 Dy 3.35, 4 Pm 3.66, 2 Sm 3.69
Sm  0.9030  0.5416  0.5000  2 Dy 3.44, 6 Pm 3.57-3.72, 4 Sm 3.69-3.79
Dy  0.0578  0.2596  0.0000  6 Sm 3.34-3.44, 2 Pm 3.52, 2 Dy 3.69
Dy  0.2596  0.0578  0.0000  6 Sm 3.34-3.44, 2 Pm 3.52, 2 Dy 3.69
Dy  0.7404  0.9422  0.0000  6 Sm 3.34-3.44, 2 Pm 3.52, 2 Dy 3.69
Dy  0.9422  0.7404  0.0000  6 Sm 3.34-3.44, 2 Pm 3.52, 2 Dy 3.69

Summary:
SG: No. 65
V: 816.38 Å³/cell
N(E_F): 32.4 states/eV/f.u.
formation enthalpy at 0 K: 0.056 eV per atom